1.
Pr2YScTl2 after structural relaxation, computed with PBE.

Cell and atoms, written as POSCAR:
```
Pr2YScTl2
1.0
5.007 0.000 0.000
0.000 10.054 0.000
0.000 0.000 7.025
Pr Y Sc Tl
4 2 2 4
direct
0.000 0.050 0.000
0.000 0.950 0.500
0.500 0.188 0.274
0.500 0.812 0.774
0.500 0.454 0.896
0.500 0.546 0.396
0.000 0.311 0.602
0.000 0.689 0.102
0.000 0.391 0.170
0.000 0.609 0.670
0.500 0.152 0.733
0.500 0.848 0.233
```

---

2.
PrY2ScTl2 after structural relaxation, computed with PBE.

Cell and atoms, written as POSCAR:
```
PrY2ScTl2
1.0
4.997 0.000 0.000
0.000 9.893 0.000
0.000 0.000 7.012
Pr Y Sc Tl
2 4 2 4
direct
0.000 0.051 0.000
0.000 0.949 0.500
0.000 0.314 0.398
0.000 0.686 0.898
0.500 0.448 0.101
0.500 0.552 0.601
0.500 0.200 0.712
0.500 0.800 0.212
0.000 0.367 0.839
0.000 0.633 0.339
0.500 0.125 0.281
0.500 0.875 0.781
```

---

3.
PrY2ScTl4 after structural relaxation, computed with PBE.

Cell and atoms, written as POSCAR:
```
PrY2ScTl4
1.0
2.676 1.545 8.816
-2.676 1.545 8.816
0.000 -3.090 8.816
Pr Y Sc Tl
1 2 1 4
direct
0.000 0.000 0.000
0.248 0.248 0.248
0.752 0.752 0.752
0.500 0.500 0.500
0.128 0.128 0.128
0.379 0.379 0.379
0.621 0.621 0.621
0.872 0.872 0.872
```

---

4.
Pr5Tm4Sc2 after structural relaxation, computed with PBE.

Cell and atoms, written as POSCAR:
```
Pr5Tm4Sc2
1.0
-1.743 4.577 11.517
1.743 -4.577 11.517
1.743 4.577 -11.517
Pr Tm Sc
5 4 2
direct
0.000 0.000 0.000
0.053 0.349 0.704
0.356 0.651 0.704
0.644 0.349 0.296
0.947 0.651 0.296
0.316 0.500 0.816
0.402 0.902 0.500
0.598 0.098 0.500
0.684 0.500 0.184
0.270 0.770 0.500
0.730 0.230 0.500
```

---

5.
Pr3Tm6Sc2 after structural relaxation, computed with PBE.

Cell and atoms, written as POSCAR:
```
Pr3Tm6Sc2
1.0
1.763 1.018 31.174
-1.763 1.018 31.174
0.000 -2.036 31.174
Pr Tm Sc
3 6 2
direct
0.000 0.000 0.000
0.271 0.271 0.271
0.729 0.729 0.729
0.094 0.094 0.094
0.182 0.182 0.182
0.365 0.365 0.365
0.635 0.635 0.635
0.818 0.818 0.818
0.906 0.906 0.906
0.456 0.456 0.456
0.544 0.544 0.544
```

---

6.
PrTm5Sc3 after structural relaxation, computed with PBE.

Cell and atoms, written as POSCAR:
```
PrTm5Sc3
1.0
6.790 -5.317 0.000
6.790 5.317 0.000
-5.981 0.000 8.392
Pr Tm Sc
2 10 6
direct
0.236 0.236 0.328
0.764 0.764 0.672
0.151 0.151 0.593
0.165 0.635 0.262
0.281 0.719 0.000
0.304 0.304 0.987
0.365 0.835 0.738
0.635 0.165 0.262
0.696 0.696 0.013
0.719 0.281 0.000
0.835 0.365 0.738
0.849 0.849 0.407
0.000 0.000 0.000
0.029 0.029 0.765
0.427 0.427 0.741
0.500 0.500 0.500
0.573 0.573 0.259
0.971 0.971 0.235
```

---

7.
Pr2Tm15Sc2 after structural relaxation, computed with PBE.

Cell and atoms, written as POSCAR:
```
Pr2Tm15Sc2
1.0
5.495 3.172 5.798
-5.495 3.172 5.798
0.000 -6.345 5.798
Pr Tm Sc
2 15 2
direct
0.117 0.117 0.117
0.883 0.883 0.883
0.000 0.000 0.500
0.000 0.307 0.693
0.000 0.500 0.000
0.000 0.693 0.307
0.153 0.631 0.631
0.307 0.000 0.693
0.307 0.693 0.000
0.369 0.369 0.847
0.369 0.847 0.369
0.500 0.000 0.000
0.631 0.153 0.631
0.631 0.631 0.153
0.693 0.000 0.307
0.693 0.307 0.000
0.847 0.369 0.369
0.325 0.325 0.325
0.675 0.675 0.675
```

---

8.
Pr5Tm4Sc2 after structural relaxation, computed with PBE.

Cell and atoms, written as POSCAR:
```
Pr5Tm4Sc2
1.0
9.012 0.000 0.000
0.000 3.572 0.000
-0.589 0.000 11.057
Pr Tm Sc
5 4 2
direct
0.000 0.000 0.000
0.061 0.000 0.328
0.342 0.000 0.857
0.658 0.000 0.143
0.939 0.000 0.672
0.258 0.500 0.572
0.312 0.500 0.136
0.688 0.500 0.864
0.742 0.500 0.428
0.433 0.000 0.371
0.567 0.000 0.629
```

---

9.
PrTm2Sc3 after structural relaxation, computed with PBE.

Cell and atoms, written as POSCAR:
```
PrTm2Sc3
1.0
6.276 0.000 0.000
-3.138 5.435 0.000
0.000 0.000 10.566
Pr Tm Sc
2 4 6
direct
0.333 0.667 0.437
0.667 0.333 0.563
0.000 0.000 0.000
0.000 0.000 0.500
0.333 0.667 0.055
0.667 0.333 0.945
0.169 0.339 0.758
0.169 0.831 0.758
0.339 0.169 0.242
0.661 0.831 0.758
0.831 0.169 0.242
0.831 0.661 0.242
```

---

10.
Pr8TmSc2 after structural relaxation, computed with PBE.

Cell and atoms, written as POSCAR:
```
Pr8TmSc2
1.0
4.546 -8.127 0.000
4.546 8.127 0.000
-3.082 0.000 5.059
Pr Tm Sc
8 1 2
direct
0.096 0.334 0.670
0.209 0.791 0.000
0.334 0.096 0.670
0.417 0.417 0.205
0.583 0.583 0.795
0.666 0.904 0.330
0.791 0.209 0.000
0.904 0.666 0.330
0.000 0.000 0.000
0.310 0.690 0.500
0.690 0.310 0.500
```

---

11.
Pr4Tm4Sc after structural relaxation, computed with PBE.

Cell and atoms, written as POSCAR:
```
Pr4Tm4Sc
1.0
-2.653 2.653 11.713
2.653 -2.653 11.713
2.653 2.653 -11.713
Pr Tm Sc
4 4 1
direct
0.127 0.127 0.507
0.380 0.873 0.000
0.620 0.620 0.493
0.873 0.380 0.000
0.000 0.500 0.500
0.248 0.248 0.000
0.500 0.000 0.500
0.752 0.752 0.000
0.500 0.500 0.000
```

---

12.
Pr2Tm5Sc2 after structural relaxation, computed with PBE.

Cell and atoms, written as POSCAR:
```
Pr2Tm5Sc2
1.0
6.038 0.000 0.000
-3.006 5.242 0.000
-3.012 -1.741 8.531
Pr Tm Sc
2 5 2
direct
0.164 0.335 0.000
0.836 0.665 0.000
0.061 0.113 0.339
0.276 0.557 0.661
0.500 0.000 0.000
0.724 0.443 0.339
0.939 0.887 0.661
0.395 0.784 0.341
0.605 0.216 0.659
```

---

no.,ΔH_f (0 K) (kJ per mole of atoms)
1,-26
2,-26
3,-32
4,21
5,4
6,56
7,34
8,7
9,24
10,15
11,62
12,4